# 1
Material: CeScOs4
Method: DFT, PBE-GGA
State: optimized geometry

Output
**DOS at the Fermi energy**: 0.773 states/eV per atom
**Total magnetization**: 0.000 μB per formula unit
**E_tot**: -9.78 eV/atom
**SG**: F-43m
**Energy relative to the elements**: -1.5 eV per formula unit

POSCAR file:
```
CeScOs4
1.0
5.326 0.000 0.000
2.663 4.612 0.000
2.663 1.537 4.348
Os Sc Ce
4 1 1
Cartesian
5.326 3.075 0.538 Os
5.326 1.532 2.720 Os
3.990 3.846 2.720 Os
6.662 3.846 2.720 Os
0.000 0.000 0.000 Sc
2.663 1.537 1.087 Ce
```

# 2
Material: BeSnRu2Rh
Method: DFT, PBE-GGA
State: optimized geometry

Output
**DOS at the Fermi energy**: 1.253 states/eV per atom
**Total magnetization**: 0.000 μB per formula unit
**E_tot**: -5.08 eV/atom
**SG**: P4/mmm
**Energy relative to the elements**: 8.3 eV per formula unit

POSCAR file:
```
BeSnRu2Rh
1.0
-2.485 2.177 -3.331
2.130 -2.809 -3.425
-3.421 -3.175 0.476
Be Sn Ru Rh
1 1 2 1
Cartesian
-1.888 -1.903 -3.140 Be
1.065 -1.404 -1.712 Sn
-1.711 -1.588 0.238 Ru
-1.242 1.089 -1.666 Ru
0.000 0.000 0.000 Rh
```

# 3
Material: VCuOs2
Method: DFT, PBE-GGA
State: optimized geometry

Output
**DOS at the Fermi energy**: 1.178 states/eV per atom
**Total magnetization**: 0.612 μB per formula unit
**E_tot**: -8.25 eV/atom
**SG**: I-42d
**Energy above the most stable polymorph in this dataset**: 589 meV per atom
**Energy relative to the elements**: 2.7 eV per formula unit

POSCAR file:
```
VCuOs2
1.0
-2.900 0.100 -2.385
-1.266 -3.246 1.403
-6.756 2.785 5.375
Cu Os V
2 4 2
Cartesian
-5.869 0.656 1.250 Cu
0.000 0.000 0.000 Cu
-3.779 0.357 -0.070 Os
-2.723 -1.324 2.021 Os
-6.577 1.043 3.605 Os
-8.764 -0.798 3.230 Os
-5.052 -1.017 3.144 V
-2.083 -1.573 -0.491 V
```

# 4
Material: La3PmSmY
Method: DFT, PBE-GGA
State: optimized geometry

Output
**DOS at the Fermi energy**: 1.411 states/eV per atom
**Total magnetization**: 0.000 μB per formula unit
**E_tot**: -4.96 eV/atom
**SG**: C2/m
**Energy relative to the elements**: 0.9 eV per formula unit

POSCAR file:
```
La3PmSmY
1.0
-4.341 -2.863 2.868
6.421 4.182 7.744
-3.795 5.718 -0.037
Pm La Sm Y
2 6 2 2
Cartesian
-0.706 7.517 6.434 Pm
-1.009 -0.480 4.141 Pm
0.834 2.758 4.014 La
3.191 4.059 8.880 La
-4.905 2.978 1.696 La
-0.182 1.806 7.673 La
-2.549 4.279 6.561 La
-1.532 5.231 2.902 La
-0.487 1.819 1.078 Sm
-1.228 5.218 9.497 Sm
1.081 4.932 6.557 Y
-2.795 2.105 4.018 Y
```